This record from Alexandria describes Cs5Tl6Pt after structural relaxation. The functional is PBE.

Lattice parameters (Å, degrees): 9.2710 9.2710 8.8237 100.31 100.31 121.35
Fractional coordinates of all 12 atoms:
Cs (0.0000, 0.0000, 0.0000)
Cs (0.1554, 0.8446, 0.5000)
Cs (0.2986, 0.7014, 0.0000)
Cs (0.7014, 0.2986, 0.0000)
Cs (0.8446, 0.1554, 0.5000)
Tl (0.1970, 0.4539, 0.3179)
Tl (0.3520, 0.3520, 0.7245)
Tl (0.4539, 0.1970, 0.3179)
Tl (0.5461, 0.8030, 0.6821)
Tl (0.6480, 0.6480, 0.2755)
Tl (0.8030, 0.5461, 0.6821)
Pt (0.5000, 0.5000, 0.5000)

## Properties
formation energy: -0.06 eV per atom
space group: C2/m, No. 12
total moment: 0.000 μB/atom

This record from Alexandria describes La5Pr2Th after structural relaxation. The functional is PBE.

Lattice parameters (Å, degrees): 9.1420 9.1420 9.1420 157.19 102.20 82.35
Fractional coordinates of all 8 atoms:
La (0.0000, 0.0000, 0.0000)
La (0.1231, 0.3767, 0.7464)
La (0.3697, 0.6233, 0.7464)
La (0.6303, 0.3767, 0.2536)
La (0.8769, 0.6233, 0.2536)
Pr (0.2563, 0.2563, 0.0000)
Pr (0.7437, 0.7437, 0.0000)
Th (0.5000, 0.0000, 0.5000)

## Properties
formation energy: 0.05 eV per atom
polymorph energy (0 for the lowest one): 0 kJ/mol of formula units
space group: Immm, No. 71
total moment: 0.000 μB/atom